10
Lattice="-3.605 1.291 -1.532 -1.829 -3.409 1.430 -2.123 5.003 9.209" Properties=species:S:1:pos:R:3 comment="ErZn2Ga2 (PBE-GGA, optimized geometry)" e_form_ev_per_atom=-0.39 pbc="T T T"
Zn 0.000 0.000 0.000
Zn -3.161 3.847 5.126
Zn -2.717 -1.059 -0.051
Zn -1.679 0.097 4.032
Er -2.509 2.053 7.633
Er -2.331 1.891 1.526
Ga -3.778 1.443 4.554
Ga -3.632 4.959 7.173
Ga -1.061 2.502 4.605
Ga -1.207 -1.014 1.985

4
Lattice="-3.019 2.806 0.925 -3.080 0.784 -2.783 -4.825 -2.483 1.434" Properties=species:S:1:pos:R:3 comment="ErZnGa2 (PBE-GGA, optimized geometry)" e_form_ev_per_atom=-0.40 pbc="T T T"
Ga -2.496 0.586 -0.279
Ga -8.427 0.521 -0.146
Zn 0.000 0.000 0.000
Er -5.462 0.554 -0.212

14
Lattice="6.853 0.000 0.000 0.000 6.853 0.000 0.000 0.000 6.853" Properties=species:S:1:pos:R:3 comment="ErZn3Ga3 (PBE-GGA, optimized geometry)" e_form_ev_per_atom=0.26 pbc="T T T"
Zn 0.000 3.426 1.713
Zn 5.140 0.000 3.426
Zn 3.426 5.140 0.000
Zn 0.000 3.426 5.140
Zn 3.426 1.713 0.000
Zn 1.713 0.000 3.426
Er 3.426 3.426 3.426
Er 0.000 0.000 0.000
Ga 5.140 3.426 0.000
Ga 0.000 5.140 3.426
Ga 3.426 0.000 1.713
Ga 0.000 1.713 3.426
Ga 1.713 3.426 0.000
Ga 3.426 0.000 5.140

13
Lattice="5.310 0.000 0.000 2.655 6.264 0.000 2.655 0.000 6.327" Properties=species:S:1:pos:R:3 comment="ErZn10Ga2 (PBE-GGA, optimized geometry)" e_form_ev_per_atom=-0.12 pbc="T T T"
Zn 7.965 4.950 4.961
Zn 1.328 0.000 3.164
Zn 5.310 4.064 4.042
Zn 2.655 2.200 4.042
Zn 3.983 0.000 3.164
Zn 5.310 2.200 2.285
Zn 5.310 4.950 1.366
Zn 2.655 1.314 1.366
Zn 7.965 4.064 2.285
Zn 5.310 1.314 4.961
Er 0.000 0.000 0.000
Ga 1.328 3.132 0.000
Ga 3.983 3.132 0.000

9
Lattice="4.075 0.000 0.000 0.000 4.075 0.000 0.000 0.000 9.079" Properties=species:S:1:pos:R:3 comment="ErZn6Ga2 (PBE-GGA, optimized geometry)" e_form_ev_per_atom=-0.19 pbc="T T T"
Ga 2.037 2.037 1.211
Ga 2.037 2.037 7.869
Zn 2.037 0.000 2.725
Zn 2.037 2.037 4.540
Zn 0.000 2.037 6.354
Zn 2.037 0.000 6.354
Zn 0.000 2.037 2.725
Zn 0.000 0.000 4.540
Er 0.000 0.000 0.000

4
Lattice="4.853 0.000 0.000 2.427 4.203 0.000 2.427 1.401 3.963" Properties=species:S:1:pos:R:3 comment="ErZrZnGa (PBE-GGA, optimized geometry)" e_form_ev_per_atom=-0.40 pbc="T T T"
Er 0.000 0.000 0.000
Zn 7.280 4.203 2.972
Zr 4.853 2.802 1.981
Ga 2.427 1.401 0.991

6
Lattice="4.229 0.000 0.000 0.000 4.229 0.000 0.000 0.000 7.858" Properties=species:S:1:pos:R:3 comment="ErZrGa (PBE-GGA, optimized geometry)" e_form_ev_per_atom=-0.44 pbc="T T T"
Er 0.000 2.114 6.671
Er 2.114 0.000 1.187
Ga 0.000 2.114 1.865
Ga 2.114 0.000 5.993
Zr 2.114 2.114 3.929
Zr 0.000 0.000 3.929

6
Lattice="-3.193 1.206 -0.299 -1.147 -3.174 -0.554 -0.478 1.749 12.178" Properties=species:S:1:pos:R:3 comment="ErZrGa (PBE-GGA, optimized geometry)" e_form_ev_per_atom=-0.35 pbc="T T T"
Ga -1.194 1.581 9.328
Ga -3.624 -1.801 1.998
Zr -3.597 0.395 10.568
Zr -1.222 -0.614 0.758
Er -3.108 0.819 7.062
Er -1.710 -1.039 4.264

6
Lattice="5.375 0.000 0.000 2.688 4.655 0.000 2.688 1.552 4.389" Properties=species:S:1:pos:R:3 comment="ErZrGa4 (PBE-GGA, optimized geometry)" e_form_ev_per_atom=-0.50 pbc="T T T"
Ga 4.030 3.881 2.744
Ga 6.721 3.881 2.744
Ga 5.375 3.104 0.546
Ga 5.375 1.549 2.744
Er 2.688 1.552 1.097
Zr 0.000 0.000 0.000

6
Lattice="3.887 0.527 0.238 1.482 3.631 0.238 1.231 0.954 10.086" Properties=species:S:1:pos:R:3 comment="ErZrGa4 (PBE-GGA, optimized geometry)" e_form_ev_per_atom=-0.29 pbc="T T T"
Ga 3.117 2.414 8.541
Ga 5.202 4.029 3.417
Ga 1.398 1.082 7.146
Ga 3.482 2.697 2.022
Zr 0.000 0.000 0.000
Er 3.300 2.556 5.281

12
Lattice="4.155 0.000 0.000 -2.078 9.174 -0.429 0.000 -4.522 7.204" Properties=species:S:1:pos:R:3 comment="ErZr3Ga2 (PBE-GGA, optimized geometry)" e_form_ev_per_atom=-0.35 pbc="T T T"
Ga 2.078 3.741 1.395
Ga 0.000 0.910 5.379
Ga 2.078 -0.602 1.158
Ga 0.000 5.253 5.616
Zr 2.078 -1.016 5.596
Zr 0.000 5.667 1.179
Zr 0.000 -0.943 3.051
Zr 2.078 5.594 3.724
Zr 0.000 3.420 3.364
Zr 2.078 1.231 3.410
Er 0.000 1.726 0.605
Er 2.078 2.925 6.169

8
Lattice="4.171 0.000 0.000 0.000 5.920 -0.038 0.000 0.038 5.920" Properties=species:S:1:pos:R:3 comment="ErZrGa6 (PBE-GGA, optimized geometry)" e_form_ev_per_atom=-0.50 pbc="T T T"
Zr 2.086 2.979 2.941
Ga 0.000 1.524 4.414
Ga 2.086 2.960 -0.019
Ga 0.000 4.434 1.468
Ga 0.000 4.452 4.396
Ga 2.086 0.019 2.960
Ga 0.000 1.505 1.486
Er 2.086 0.000 0.000

18
Lattice="5.491 0.000 0.000 0.000 8.768 0.000 0.000 0.000 8.768" Properties=species:S:1:pos:R:3 comment="ErZr4Ga4 (PBE-GGA, optimized geometry)" e_form_ev_per_atom=-0.23 pbc="T T T"
Ga 4.872 2.497 7.520
Ga 4.872 6.270 1.248
Ga 3.364 6.881 3.136
Ga 2.126 5.632 6.881
Ga 0.619 7.520 6.270
Ga 0.619 1.248 2.497
Ga 3.364 1.887 5.632
Ga 2.126 3.136 1.887
Zr 3.417 7.893 5.759
Zr 0.671 1.375 5.258
Zr 3.417 0.874 3.009
Zr 0.671 7.393 3.509
Zr 4.819 3.509 1.375
Zr 2.074 5.759 0.874
Zr 4.819 5.258 7.393
Zr 2.074 3.009 7.893
Er 2.745 4.384 4.384
Er 0.000 0.000 0.000

18
Lattice="7.220 0.037 0.000 -2.338 7.134 0.000 0.000 0.000 7.539" Properties=species:S:1:pos:R:3 comment="Er2Zr3Ga4 (PBE-GGA, optimized geometry)" e_form_ev_per_atom=-0.57 pbc="T T T"
Er 0.059 1.364 1.307
Er 3.669 1.383 2.462
Er 1.213 5.789 5.076
Er 4.823 5.807 6.231
Zr 2.441 3.586 0.000
Zr 3.673 5.394 2.410
Zr 4.820 1.796 6.179
Zr -1.169 3.567 3.769
Zr 0.063 5.375 1.360
Zr 1.210 1.778 5.129
Ga 5.137 3.542 0.936
Ga 2.450 6.587 0.265
Ga 6.042 0.603 4.034
Ga 1.527 3.524 2.833
Ga -1.160 6.569 3.505
Ga 2.432 0.584 7.274
Ga -0.255 3.629 6.602
Ga 3.355 3.648 4.706

18
Lattice="-2.794 0.706 -5.572 1.824 -7.755 -1.897 -5.312 -2.682 5.855" Properties=species:S:1:pos:R:3 comment="Er2Zr3Ga4 (PBE-GGA, optimized geometry)" e_form_ev_per_atom=-0.40 pbc="T T T"
Zr -0.485 -3.525 -3.734
Zr -4.411 -2.372 -3.385
Zr -3.268 -7.007 -1.014
Zr 0.000 0.000 0.000
Zr -3.014 -2.724 -0.599
Zr -1.871 -7.359 1.772
Ga -5.552 -1.544 -0.942
Ga -0.648 -1.903 -1.681
Ga -2.045 -1.550 -4.467
Ga -2.841 -4.797 -2.714
Ga -5.633 -7.828 0.068
Ga -4.236 -8.181 2.854
Ga -0.729 -8.187 -0.671
Ga -3.441 -4.934 1.100
Er -5.837 -4.645 -1.192
Er -1.250 -7.247 -3.822
Er -5.031 -2.484 2.208
Er -0.445 -5.086 -0.421

6
Lattice="-0.976 0.731 -3.609 -3.681 -0.296 0.935 -0.259 9.577 2.010" Properties=species:S:1:pos:R:3 comment="ErZrGa (PBE-GGA, optimized geometry)" e_form_ev_per_atom=-0.13 pbc="T T T"
Ga -0.600 4.502 -0.936
Ga -1.987 5.293 1.610
Zr -2.082 8.783 2.342
Zr -0.505 1.011 -1.669
Er -1.909 2.374 0.997
Er -0.678 7.420 -0.324

3
Lattice="3.320 0.000 0.000 0.000 3.320 0.000 -1.660 -1.660 6.204" Properties=species:S:1:pos:R:3 comment="ErZrGa (PBE-GGA, optimized geometry)" e_form_ev_per_atom=-0.32 pbc="T T T"
Zr 1.660 1.660 5.400
Er 1.660 1.660 1.561
Ga 0.000 0.000 3.587

6
Lattice="3.914 0.002 1.439 1.742 5.212 1.299 0.150 -0.359 5.633" Properties=species:S:1:pos:R:3 comment="ErZrGa4 (PBE-GGA, optimized geometry)" e_form_ev_per_atom=-0.53 pbc="T T T"
Ga 4.621 4.560 5.551
Ga 1.185 0.294 2.819
Ga 4.093 2.709 6.991
Ga 1.713 2.145 1.380
Zr 2.903 2.427 4.185
Er 3.914 0.002 1.439

10
Lattice="4.044 0.000 0.000 0.000 3.972 0.000 0.000 -1.986 12.533" Properties=species:S:1:pos:R:3 comment="ErZrGa3 (PBE-GGA, optimized geometry)" e_form_ev_per_atom=-0.60 pbc="T T T"
Zr 1.011 1.986 7.357
Zr 3.033 0.000 5.175
Ga 3.033 1.986 0.639
Ga 1.011 0.000 11.894
Ga 1.011 1.986 4.561
Ga 3.033 0.000 7.972
Ga 1.011 0.000 9.454
Ga 3.033 1.986 3.079
Er 1.011 0.000 1.891
Er 3.033 1.986 10.642

12
Lattice="4.184 0.000 0.000 0.000 4.184 0.000 0.000 0.000 12.413" Properties=species:S:1:pos:R:3 comment="ErZr2Ga9 (PBE-GGA, optimized geometry)" e_form_ev_per_atom=-0.48 pbc="T T T"
Zr 0.000 0.000 4.199
Zr 0.000 0.000 8.214
Ga 0.000 2.092 2.142
Ga 2.092 2.092 0.000
Ga 0.000 2.092 10.271
Ga 2.092 0.000 6.206
Ga 2.092 2.092 4.154
Ga 2.092 0.000 10.271
Ga 2.092 0.000 2.142
Ga 2.092 2.092 8.259
Ga 0.000 2.092 6.206
Er 0.000 0.000 0.000

3
Lattice="-0.357 0.893 -3.353 -0.460 -4.654 -1.191 -3.908 2.604 1.110" Properties=species:S:1:pos:R:3 comment="ErZrGa (PBE-GGA, optimized geometry)" e_form_ev_per_atom=-0.18 pbc="T T T"
Zr -2.923 0.596 -1.200
Er -0.350 0.874 -3.283
Ga -1.810 -1.734 -2.304

6
Lattice="-2.464 4.183 1.096 -2.384 -0.263 -4.358 -4.219 -3.895 5.381" Properties=species:S:1:pos:R:3 comment="GdEr5 (PBE-GGA, optimized geometry)" e_form_ev_per_atom=0.02 pbc="T T T"
Er -3.009 -1.484 -1.103
Er -6.027 -0.722 0.502
Er -2.424 1.960 -1.631
Er -3.594 -2.674 2.127
Er -3.039 0.747 1.617
Gd 0.000 0.000 0.000

4
Lattice="-0.262 0.894 3.360 -0.863 -2.398 2.379 10.795 -2.997 3.449" Properties=species:S:1:pos:R:3 comment="Gd2ErGe (PBE-GGA, optimized geometry)" e_form_ev_per_atom=0.16 pbc="T T T"
Gd 1.695 -2.134 6.127
Gd 7.975 -2.367 3.061
Er 4.835 -2.251 4.594
Ge 0.000 0.000 0.000

4
Lattice="3.627 0.000 0.000 1.814 3.141 0.000 1.814 1.047 9.998" Properties=species:S:1:pos:R:3 comment="GdEr2Ge (PBE-GGA, optimized geometry)" e_form_ev_per_atom=-0.23 pbc="T T T"
Er 1.814 1.047 2.016
Er 5.441 3.141 7.982
Gd 3.627 2.094 4.999
Ge 0.000 0.000 0.000

Per-record size of the total moment, Bohr magnetons per cell: 0.0; 0.0; 0.0; 0.0; 0.0; 0.0; 0.0; 0.0; 0.0; 0.0; 0.0; 0.0; 0.0; 0.7; 0.0; 0.0; 0.0; 0.0; 0.0; 0.0; 0.0; 7.2; 14.4; 8.0